Material: Ni3AsN
Method: DFT, PBE-GGA
State: relaxed

abc: 4.316 4.316 4.316
angles: 90.00 90.00 90.00
Element x y z (fractional)
Ni  0.000  0.000  0.500
Ni  0.000  0.500  0.000
Ni  0.500  0.000  0.000
As  0.000  0.000  0.000
N  0.500  0.500  0.500

**D(E_F)**: 3.38 states/eV/cell
**Total magnetic moment**: 0.28 μB/atom
**VASP energy**: -22.8 eV per cell
**Relative energy among the computed polymorphs**: 7.36 eV/f.u.
**Uncorrected formation energy**: 34.75 kcal/mol of atoms
**Space group**: Pm-3m, No. 221

Material: Ni2As2N
Method: DFT, PBE-GGA
State: relaxed

abc: 6.378 6.378 6.378
angles: 149.26 149.26 44.02
Element x y z (fractional)
Ni  0.250  0.750  0.500
Ni  0.750  0.250  0.500
As  0.106  0.106  0.000
As  0.894  0.894  0.000
N  0.500  0.500  0.000

**D(E_F)**: 2.41 states/eV/cell
**Total magnetic moment**: 0.00 μB/atom
**VASP energy**: -25.2 eV per cell
**Relative energy among the computed polymorphs**: 0.22 eV/f.u.
**Uncorrected formation energy**: 18.59 kcal/mol of atoms
**Space group**: I4/mmm, No. 139

Material: NpNiAsN
Method: DFT, PBE-GGA
State: relaxed

abc: 3.868 3.868 8.034
angles: 90.00 90.00 90.00
Element x y z (fractional)
Np  0.250  0.250  0.141
Np  0.750  0.750  0.859
Ni  0.250  0.750  0.500
Ni  0.750  0.250  0.500
As  0.250  0.250  0.666
As  0.750  0.750  0.334
N  0.250  0.750  0.000
N  0.750  0.250  0.000

**D(E_F)**: 14.44 states/eV/cell
**Total magnetic moment**: 0.73 μB/atom
**VASP energy**: -70.2 eV per cell
**Uncorrected formation energy**: -19.59 kcal/mol of atoms
**Space group**: P4/nmm, No. 129